PmErBi2O6: relaxed, PBE.

abc: 6.0710 6.0710 15.3201
angles: 90.00 90.00 120.00
Space group R3 (No. 146, hexagonal axes)
Asymmetric unit:
Pm1 0.0000 0.0000 0.0000 x3
Er1 0.0000 0.0000 0.5050 x3
Bi1 0.0000 0.0000 0.2159 x3
Bi2 0.0000 0.0000 0.7175 x3
O1 0.0202 0.7378 0.6122 x9
O2 0.0339 0.4023 0.7807 x9

Results
size of the total moment = 0.0 μB per formula unit
N(E_F) = 0.000 states/eV per cell
crystal system = trigonal
ΔE_f (raw) = -2.34 eV per atom
VASP energy = -210.697 eV/cell